Density functional theory data (PBE-GGA) for crystalline Rb2VTc at its relaxed geometry.

Summary:
Its polymorph energy (0 for the lowest one) is 811 meV per atom. As for the space group: Fm-3m, No. 225.

Unit cell a=5.9887 b=5.9887 c=5.9887 alpha=60.00 beta=60.00 gamma=60.00
With the nearest neighbours (Å) after each atom.
Sites, in units of the cell vectors:
1 Tc 0.5000 0.5000 0.5000  8 Rb 3.67
2 Rb 0.2500 0.2500 0.2500  4 V 3.67, 4 Tc 3.67
3 Rb 0.7500 0.7500 0.7500  4 Tc 3.67, 4 V 3.67
4 V 0.0000 0.0000 0.0000  8 Rb 3.67

Density functional theory data (PBE-GGA) for crystalline RbTcW2 at its relaxed geometry.

Summary:
Its polymorph energy (0 for the lowest one) is 78 meV per atom. As for the space group: I4_1/amd, No. 141.

Unit cell a=5.2019 b=5.2019 c=9.2638 alpha=73.69 beta=73.69 gamma=90.00
With the nearest neighbours (Å) after each atom.
Sites, in units of the cell vectors:
1 Rb 0.5000 0.5000 0.0000  8 W 3.60, 4 Tc 3.68
2 Rb 0.2500 0.7500 0.5000  8 W 3.60, 4 Tc 3.68
3 Tc 0.0000 0.0000 0.0000  4 W 2.49
4 Tc 0.7500 0.2500 0.5000  4 W 2.49
5 W 0.8749 0.1250 0.2500  2 Tc 2.49, 2 W 2.60
6 W 0.8751 0.6250 0.2500  2 Tc 2.49, 2 W 2.60
7 W 0.3750 0.1251 0.7500  2 Tc 2.49, 2 W 2.60
8 W 0.8750 0.1249 0.7500  2 Tc 2.49, 2 W 2.60

Density functional theory data (PBE-GGA) for crystalline RbTcW2 at its relaxed geometry.

Summary:
Its polymorph energy (0 for the lowest one) is 0 meV per atom. As for the space group: Fm-3m, No. 225.

Unit cell a=4.6593 b=4.6593 c=4.6593 alpha=60.00 beta=60.00 gamma=60.00
With the nearest neighbours (Å) after each atom.
Sites, in units of the cell vectors:
1 Rb 0.0000 0.0000 0.0000  8 W 2.85
2 Tc 0.5000 0.5000 0.5000  8 W 2.85
3 W 0.2500 0.2500 0.2500  4 Tc 2.85, 4 Rb 2.85
4 W 0.7500 0.7500 0.7500  4 Rb 2.85, 4 Tc 2.85

Density functional theory data (PBE-GGA) for crystalline RbY2Tc at its relaxed geometry.

Summary:
Its polymorph energy (0 for the lowest one) is 0 meV per atom. As for the space group: I4_1/amd, No. 141.

Unit cell a=8.1858 b=8.1858 c=8.1941 alpha=60.03 beta=60.03 gamma=90.00
With the nearest neighbours (Å) after each atom.
Sites, in units of the cell vectors:
1 Y 0.8752 0.1250 0.2500  2 Tc 2.51
2 Y 0.8748 0.6250 0.2500  2 Tc 2.51
3 Y 0.3750 0.1248 0.7500  2 Tc 2.51
4 Y 0.8750 0.1252 0.7500  2 Tc 2.51
5 Tc 0.0000 0.0000 0.0000  4 Y 2.51
6 Tc 0.7500 0.2500 0.5000  4 Y 2.51
7 Rb 0.5000 0.5000 0.0000  12 Y 4.80-4.81, 4 Tc 5.02, 4 Rb 5.02
8 Rb 0.2500 0.7500 0.5000  12 Y 4.80-4.81, 4 Tc 5.02, 4 Rb 5.02

Density functional theory data (PBE-GGA) for crystalline RbYTc2 at its relaxed geometry.

Summary:
Its polymorph energy (0 for the lowest one) is 197 meV per atom. As for the space group: Fm-3m, No. 225.

Unit cell a=5.0607 b=5.0607 c=5.0607 alpha=60.00 beta=60.00 gamma=60.00
With the nearest neighbours (Å) after each atom.
Sites, in units of the cell vectors:
1 Y 0.5000 0.5000 0.5000  8 Tc 3.10
2 Tc 0.2500 0.2500 0.2500  4 Y 3.10, 4 Rb 3.10
3 Tc 0.7500 0.7500 0.7500  4 Rb 3.10, 4 Y 3.10
4 Rb 0.0000 0.0000 0.0000  8 Tc 3.10

Density functional theory data (PBE-GGA) for crystalline RbYTc3 at its relaxed geometry.

Summary:
The total energy is -5.47 eV per atom. As for the space group: Pm-3m, No. 221.

Unit cell a=5.2704 b=5.2704 c=5.2704 alpha=90.00 beta=90.00 gamma=90.00
With the nearest neighbours (Å) after each atom.
Sites, in units of the cell vectors:
1 Y 0.0000 0.0000 0.0000  6 Tc 2.64
2 Tc 0.0000 0.5000 0.0000  2 Y 2.64
3 Tc 0.0000 0.0000 0.5000  2 Y 2.64
4 Tc 0.5000 0.0000 0.0000  2 Y 2.64
5 Rb 0.5000 0.5000 0.5000  12 Tc 3.73

Density functional theory data (PBE-GGA) for crystalline Rb3YTc at its relaxed geometry.

Summary:
Its polymorph energy (0 for the lowest one) is 200 meV per atom. As for the space group: Pm-3m, No. 221.

Unit cell a=7.4282 b=7.4282 c=7.4282 alpha=90.00 beta=90.00 gamma=90.00
With the nearest neighbours (Å) after each atom.
Sites, in units of the cell vectors:
1 Y 0.0000 0.0000 0.0000  6 Rb 3.71
2 Tc 0.5000 0.5000 0.5000  12 Rb 5.25
3 Rb 0.0000 0.5000 0.0000  2 Y 3.71
4 Rb 0.0000 0.0000 0.5000  2 Y 3.71
5 Rb 0.5000 0.0000 0.0000  2 Y 3.71

Density functional theory data (PBE-GGA) for crystalline Rb3YTc at its relaxed geometry.

Summary:
Its polymorph energy (0 for the lowest one) is 0 meV per atom. As for the space group: Pm-3m, No. 221.

Unit cell a=6.1851 b=6.1851 c=6.1851 alpha=90.00 beta=90.00 gamma=90.00
With the nearest neighbours (Å) after each atom.
Sites, in units of the cell vectors:
1 Y 0.5000 0.5000 0.5000  12 Rb 4.37
2 Tc 0.0000 0.0000 0.0000  6 Rb 3.09
3 Rb 0.0000 0.5000 0.0000  2 Tc 3.09
4 Rb 0.0000 0.0000 0.5000  2 Tc 3.09
5 Rb 0.5000 0.0000 0.0000  2 Tc 3.09

Repeat the seventh record exactly.
Density functional theory data (PBE-GGA) for crystalline Rb3YTc at its relaxed geometry.

Summary:
Its polymorph energy (0 for the lowest one) is 200 meV per atom. As for the space group: Pm-3m, No. 221.

Unit cell a=7.4282 b=7.4282 c=7.4282 alpha=90.00 beta=90.00 gamma=90.00
With the nearest neighbours (Å) after each atom.
Sites, in units of the cell vectors:
1 Y 0.0000 0.0000 0.0000  6 Rb 3.71
2 Tc 0.5000 0.5000 0.5000  12 Rb 5.25
3 Rb 0.0000 0.5000 0.0000  2 Y 3.71
4 Rb 0.0000 0.0000 0.5000  2 Y 3.71
5 Rb 0.5000 0.0000 0.0000  2 Y 3.71